(1)
VASP calculation (GGA-PBE) on a geometry-optimized Mg2TcMo structure.

The calculated total energy comes out at -5.8118 eV per atom. Its relative energy among the computed polymorphs is 0.90 eV/f.u. The energy of formation from the pure elements comes out at 285 meV per atom. As for the density of states at the Fermi level: 4.31 states/eV per cell. The value obtained for the total moment is 0.0 μB/f.u.

The structure belongs to space group Cmmm (No. 65); the cell edges are 3.3261, 4.2682 and 9.2803 Å and the angles 90.00°, 90.00° and 90.00°. The inequivalent atoms are Mg at (0.0000, 0.0000, 0.2445), Tc at (0.0000, 0.5000, 0.0000) and Mo at (0.0000, 0.5000, 0.5000).



(2)
VASP calculation (GGA-PBE) on a geometry-optimized Mg4TcMo structure.

The calculated total energy comes out at -3.9406 eV per atom. The energy of formation from the pure elements comes out at 655 meV per atom. As for the density of states at the Fermi level: 23.98 states/eV per cell. The value obtained for the total moment is 0.0 μB/f.u.

The structure belongs to space group F-43m (No. 216); the cell edges are 7.4831, 7.4831 and 7.4831 Å and the angles 90.00°, 90.00° and 90.00°. The inequivalent atoms are Mg at (0.1249, 0.1249, 0.1249), Tc at (0.0000, 0.0000, 0.5000) and Mo at (0.2500, 0.2500, 0.7500).



(3)
VASP calculation (GGA-PBE) on a geometry-optimized MgTcMo2 structure.

The calculated total energy comes out at -8.1760 eV per atom. The energy of formation from the pure elements comes out at 230 meV per atom. As for the density of states at the Fermi level: 6.48 states/eV per cell. The value obtained for the total moment is 0.0 μB/f.u.

The structure belongs to space group C2/m (No. 12); the cell edges are 5.4203, 9.1062 and 2.6878 Å and the angles 90.00°, 108.12° and 90.00°. The inequivalent atoms are Mg at (0.0000, 0.0000, 0.0000), Tc at (0.0000, 0.5000, 0.0000) and Mo at (0.2500, 0.2500, 0.5000).



(4)
VASP calculation (GGA-PBE) on a geometry-optimized Mg2TcMo structure.

The calculated total energy comes out at -5.2088 eV per atom. Its relative energy among the computed polymorphs is 3.31 eV/f.u. The energy of formation from the pure elements comes out at 888 meV per atom. As for the density of states at the Fermi level: 16.38 states/eV per cell. The value obtained for the total moment is 0.0 μB/f.u.

The structure belongs to space group I-42d (No. 122); the cell edges are 7.3106, 7.3106 and 5.2533 Å and the angles 90.00°, 90.00° and 90.00°. The inequivalent atoms are Mg at (0.2416, 0.2500, 0.1250), Tc at (0.0000, 0.0000, 0.0000) and Mo at (0.0000, 0.0000, 0.5000).



(5)
VASP calculation (GGA-PBE) on a geometry-optimized Mg2TcMo structure.

The calculated total energy comes out at -5.8408 eV per atom. Its relative energy among the computed polymorphs is 0.78 eV/f.u. The energy of formation from the pure elements comes out at 256 meV per atom. As for the density of states at the Fermi level: 5.26 states/eV per cell. The value obtained for the total moment is 0.0 μB/f.u.

The structure belongs to space group Immm (No. 71); the cell edges are 3.3222, 4.2603 and 9.3137 Å and the angles 90.00°, 90.00° and 90.00°. The inequivalent atoms are Mg at (0.0000, 0.0000, 0.2440), Tc at (0.0000, 0.5000, 0.5000) and Mo at (0.0000, 0.5000, 0.0000).



(6)
VASP calculation (GGA-PBE) on a geometry-optimized Mg3TcMo structure.

The calculated total energy comes out at -3.8292 eV per atom. Its relative energy among the computed polymorphs is 0.00 eV/f.u. The energy of formation from the pure elements comes out at 1367 meV per atom. As for the density of states at the Fermi level: 4.60 states/eV per cell. The value obtained for the total moment is 3.4 μB/f.u.

The structure belongs to space group Pm-3m (No. 221); the cell edges are 4.8999, 4.8999 and 4.8999 Å and the angles 90.00°, 90.00° and 90.00°. The inequivalent atoms are Mg at (0.0000, 0.0000, 0.5000), Tc at (0.0000, 0.0000, 0.0000) and Mo at (0.5000, 0.5000, 0.5000).